## Rb3H4O4 (PBE)

Data for crystalline Rb3H4O4 at its relaxed geometry.

The space group is P1 (No. 1) and the conventional cell measures 3.927, 4.037 and 11.662 Å, with angles of 92.76, 99.66 and 90.15 degrees. Symmetry generates all atoms from Rb at (0.000, 0.000, 0.000), Rb at (0.148, 0.829, 0.306), Rb at (0.329, 0.942, 0.668), H at (0.279, 0.482, 0.868), H at (0.552, 0.412, 0.115), H at (0.745, 0.517, 0.500), H at (0.749, 0.467, 0.823), O at (0.488, 0.495, 0.932), O at (0.589, 0.302, 0.189), O at (0.738, 0.755, 0.487) and O at (0.914, 0.446, 0.766).

The crystal system is triclinic. Its total energy is -48.36 eV for the cell shown. The density comes out at 2.96 g/cm³. The density of states at the Fermi level is 0.90 states/eV/atom.

## Rb2HO3 (PBE)

Data for crystalline Rb2HO3 at its relaxed geometry.

The space group is Fmmm (No. 69) and the conventional cell measures 8.102, 8.615 and 12.368 Å, with angles of 90.00, 90.00 and 90.00 degrees. Symmetry generates all atoms from Rb at (0.198, 0.000, 0.000), Rb at (0.250, 0.250, 0.250), H at (0.000, 0.000, 0.272), O at (0.000, 0.000, 0.193) and O at (0.000, 0.137, 0.445).

The crystal system is orthorhombic. Its total energy is -210.32 eV for the cell shown. The density comes out at 3.38 g/cm³.